Below is a geometry-optimized AgSnN3 structure, with properties calculated at the GGA-PBE level.

As for the symmetry: Pm-3m (221). As for the energy relative to the elements, uncorrected: 1783 meV/atom. Its crystal system is cubic. As for the total energy: -22.9 eV/cell.

abc: 4.191 4.191 4.191
angles: 90.00 90.00 90.00
Element x y z (fractional)
Ag 0.000 0.000 0.000
Sn 0.500 0.500 0.500
N 0.000 0.500 0.500
N 0.500 0.000 0.500
N 0.500 0.500 0.000

Below is a geometry-optimized AgSn2N2 structure, with properties calculated at the GGA-PBE level.

As for the symmetry: P-1 (2). As for the energy relative to the elements, uncorrected: 112 meV/atom. Its crystal system is triclinic. As for the total energy: -26.9 eV/cell.

abc: 3.201 3.269 14.367
angles: 89.43 86.92 60.83
Element x y z (fractional)
Ag 0.000 0.000 0.000
Sn 0.284 0.372 0.168
Sn 0.716 0.628 0.832
N 0.478 0.010 0.539
N 0.522 0.990 0.461

Below is a geometry-optimized AgSnN2 structure, with properties calculated at the GGA-PBE level.

As for the symmetry: I-42d (122). As for the energy relative to the elements, uncorrected: 742 meV/atom. Its crystal system is tetragonal. As for the total energy: -41.1 eV/cell.

abc: 6.010 6.010 6.010
angles: 129.32 129.32 74.50
Element x y z (fractional)
Ag 0.000 0.000 0.000
Ag 0.750 0.250 0.500
Sn 0.250 0.750 0.500
Sn 0.500 0.500 0.000
N 0.154 0.625 0.029
N 0.375 0.404 0.529
N 0.596 0.125 0.971
N 0.875 0.846 0.471

Below is a geometry-optimized AgSnN3 structure, with properties calculated at the GGA-PBE level.

As for the symmetry: Pm-3m (221). As for the energy relative to the elements, uncorrected: 2188 meV/atom. Its crystal system is cubic. As for the total energy: -20.9 eV/cell.

abc: 4.055 4.055 4.055
angles: 90.00 90.00 90.00
Element x y z (fractional)
Ag 0.000 0.000 0.000
Sn 0.500 0.500 0.500
N 0.000 0.000 0.500
N 0.000 0.500 0.000
N 0.500 0.000 0.000

Below is a geometry-optimized AgSnN structure, with properties calculated at the GGA-PBE level.

As for the symmetry: P-1 (2). As for the energy relative to the elements, uncorrected: 540 meV/atom. Its crystal system is triclinic. As for the total energy: -27.1 eV/cell.

abc: 3.395 4.307 8.079
angles: 93.70 102.09 90.10
Element x y z (fractional)
Ag 0.191 0.297 0.384
Ag 0.809 0.703 0.616
Sn 0.435 0.235 0.870
Sn 0.565 0.765 0.130
N 0.144 0.787 0.290
N 0.856 0.213 0.710

Below is a geometry-optimized AgSnN structure, with properties calculated at the GGA-PBE level.

As for the symmetry: P6_3mc (186). As for the energy relative to the elements, uncorrected: 434 meV/atom. Its crystal system is hexagonal. As for the total energy: -27.8 eV/cell.

abc: 3.307 3.307 10.755
angles: 90.00 90.00 120.00
Element x y z (fractional)
Ag 0.333 0.667 0.000
Ag 0.667 0.333 0.500
Sn 0.000 0.000 0.215
Sn 0.000 0.000 0.715
N 0.333 0.667 0.310
N 0.667 0.333 0.810

Below is a geometry-optimized AgSn2N2 structure, with properties calculated at the GGA-PBE level.

As for the symmetry: P4/mbm (127). As for the energy relative to the elements, uncorrected: 785 meV/atom. Its crystal system is tetragonal. As for the total energy: -47.2 eV/cell.

abc: 7.251 7.251 3.394
angles: 90.00 90.00 90.00
Element x y z (fractional)
Ag 0.000 0.000 0.000
Ag 0.500 0.500 0.000
Sn 0.142 0.358 0.500
Sn 0.358 0.858 0.500
Sn 0.642 0.142 0.500
Sn 0.858 0.642 0.500
N 0.240 0.740 0.000
N 0.260 0.240 0.000
N 0.740 0.760 0.000
N 0.760 0.260 0.000

Below is a geometry-optimized AgSnN2 structure, with properties calculated at the GGA-PBE level.

As for the symmetry: R-3m (166). As for the energy relative to the elements, uncorrected: 662 meV/atom. Its crystal system is trigonal. As for the total energy: -20.9 eV/cell.

abc: 6.623 6.623 6.623
angles: 28.78 28.78 28.78
Element x y z (fractional)
Ag 0.000 0.000 0.000
Sn 0.500 0.500 0.500
N 0.108 0.108 0.108
N 0.892 0.892 0.892

Below is a geometry-optimized AgSn2N2 structure, with properties calculated at the GGA-PBE level.

As for the symmetry: I4/mmm (139). As for the energy relative to the elements, uncorrected: 728 meV/atom. Its crystal system is tetragonal. As for the total energy: -23.9 eV/cell.

abc: 5.385 5.385 5.385
angles: 128.25 128.25 76.23
Element x y z (fractional)
Ag 0.000 0.000 0.000
Sn 0.250 0.750 0.500
Sn 0.750 0.250 0.500
N 0.259 0.259 0.000
N 0.741 0.741 0.000

Below is a geometry-optimized TaAg2SnN structure, with properties calculated at the GGA-PBE level.

As for the symmetry: P4/mmm (123). As for the energy relative to the elements, uncorrected: 613 meV/atom. Its crystal system is tetragonal. As for the total energy: -26.8 eV/cell.

abc: 5.404 5.404 3.898
angles: 90.00 90.00 90.00
Element x y z (fractional)
Ta 0.000 0.000 0.000
Ag 0.000 0.500 0.000
Ag 0.500 0.000 0.000
Sn 0.500 0.500 0.500
N 0.000 0.000 0.500

Below is a geometry-optimized Tl2AgSnN structure, with properties calculated at the GGA-PBE level.

As for the symmetry: P4/mmm (123). As for the energy relative to the elements, uncorrected: 773 meV/atom. Its crystal system is tetragonal. As for the total energy: -16.0 eV/cell.

abc: 6.037 6.037 4.050
angles: 90.00 90.00 90.00
Element x y z (fractional)
Tl 0.000 0.500 0.000
Tl 0.500 0.000 0.000
Ag 0.000 0.000 0.500
Sn 0.500 0.500 0.000
N 0.500 0.500 0.500